Record 1
DFT (SCAN) results for a crystal of Mg30CdCoO32 relaxed with PBEsol.

calculated total energy = -580.50 eV per cell
formation energy from raw total energies = -2.878 eV per atom
magnetization = 3.00 μB/f.u.

Unit cell a=8.4822 b=8.4822 c=8.4675 alpha=90.00 beta=90.00 gamma=90.00
Each line ends with the local moment (μB).
Atoms (fractional coordinates):
O1 0.7507 0.2493 0.2502  0.00
O2 0.2493 0.7507 0.2502  0.00
Mg1 0.0000 0.2522 0.7531  0.00
Mg2 0.5000 0.2501 0.2495  0.00
Mg3 0.2501 0.5000 0.7505  0.00
O3 0.5000 0.5000 0.7503  0.00
Mg4 0.0000 0.2522 0.2469  0.00
O4 0.2493 0.7507 0.7498  0.00
O5 0.7494 0.5000 0.0000  0.00
Mg5 0.2490 0.2490 0.0000  0.00
O6 0.0000 0.2551 0.0000  0.04
O7 0.5000 0.0000 0.2486  0.00
Mg6 0.7479 0.7479 0.5000  0.00
Mg7 0.7510 0.7510 0.0000  0.00
Mg8 0.5000 0.0000 0.5000  0.00
Mg9 0.2522 0.0000 0.2469  0.00
Mg10 0.2521 0.2521 0.5000  0.00
Co1 0.0000 0.0000 0.0000  2.60
O8 0.2493 0.2493 0.2502  0.00
O9 0.5000 0.2517 0.5000  0.00
Mg11 0.7499 0.5000 0.2495  0.00
O10 0.7449 0.0000 0.0000  0.04
Mg12 0.7478 0.0000 0.2469  0.00
O11 0.5000 0.2506 0.0000  0.00
O12 0.0000 0.7449 0.0000  0.04
O13 0.0000 0.2629 0.5000  0.00
O14 0.5000 0.7494 0.0000  0.00
Mg13 0.5000 0.2501 0.7505  0.00
O15 0.2493 0.2493 0.7498  0.00
O16 0.0000 0.5000 0.7514  0.00
O17 0.0000 0.0000 0.2349  0.06
Mg14 0.5000 0.5000 0.0000  0.00
Mg15 0.7479 0.2521 0.5000  0.00
Mg16 0.0000 0.5000 0.5000  0.00
Mg17 0.5000 0.0000 0.0000  0.00
Mg18 0.0000 0.7478 0.2469  0.00
Mg19 0.0000 0.5000 0.0000  0.00
O18 0.0000 0.5000 0.2486  0.00
O19 0.2551 0.0000 0.0000  0.04
Cd1 0.0000 0.0000 0.5000  0.01
Mg20 0.0000 0.7478 0.7531  0.00
Mg21 0.7510 0.2490 0.0000  0.00
Mg22 0.2521 0.7479 0.5000  0.00
O20 0.7507 0.7507 0.2502  0.00
O21 0.2506 0.5000 0.0000  0.00
O22 0.7507 0.2493 0.7498  0.00
Mg23 0.2522 0.0000 0.7531  0.00
Mg24 0.7499 0.5000 0.7505  0.00
Mg25 0.5000 0.7499 0.7505  0.00
Mg26 0.2501 0.5000 0.2495  0.00
O23 0.7371 0.0000 0.5000  0.00
O24 0.5000 0.7483 0.5000  0.00
Mg27 0.2490 0.7510 0.0000  0.00
O25 0.7483 0.5000 0.5000  0.00
Mg28 0.5000 0.7499 0.2495  0.00
O26 0.0000 0.7371 0.5000  0.00
O27 0.2629 0.0000 0.5000  0.00
O28 0.7507 0.7507 0.7498  0.00
Mg29 0.5000 0.5000 0.5000  0.00
O29 0.2517 0.5000 0.5000  0.00
O30 0.5000 0.5000 0.2497  0.00
O31 0.0000 0.0000 0.7651  0.06
Mg30 0.7478 0.0000 0.7531  0.00
O32 0.5000 0.0000 0.7514  0.00

Record 2
DFT (SCAN) results for a crystal of MnCdCo2 relaxed with PBEsol.

calculated total energy = -82.69 eV per cell
magnetization = 7.24 μB/f.u.
formation energy from the elements = 0.147 eV/atom

Unit cell a=4.2045 b=4.2045 c=4.2045 alpha=60.00 beta=60.00 gamma=60.00
Each line ends with the local moment (μB).
Atoms (fractional coordinates):
Co1 0.0000 0.0000 0.0000  1.90
Cd1 0.5000 0.5000 0.5000  -0.08
Mn1 0.2500 0.2500 0.2500  3.73
Co2 0.7500 0.7500 0.7500  1.77

Record 3
DFT (SCAN) results for a crystal of MnCd3Co relaxed with PBEsol.

calculated total energy = -123.73 eV per cell
magnetization = 5.99 μB/f.u.
formation energy from the elements = 0.615 eV/atom

Unit cell a=4.8040 b=4.8040 c=4.8040 alpha=90.00 beta=90.00 gamma=90.00
Each line ends with the local moment (μB).
Atoms (fractional coordinates):
Co1 0.0000 0.0000 0.0000  1.51
Cd1 0.0000 0.5000 0.0000  -0.06
Mn1 0.5000 0.5000 0.5000  4.58
Cd2 0.5000 0.0000 0.0000  -0.06
Cd3 0.0000 0.0000 0.5000  -0.06

Record 4
DFT (SCAN) results for a crystal of MnCdCo relaxed with PBEsol.

calculated total energy = -64.30 eV per cell
magnetization = 4.79 μB/f.u.
formation energy from the elements = 0.556 eV/atom
ΔE to the lowest computed polymorph = 0.0 meV per atom

Unit cell a=3.9771 b=3.9771 c=3.9771 alpha=60.00 beta=60.00 gamma=60.00
Each line ends with the local moment (μB).
Atoms (fractional coordinates):
Mn1 0.0000 0.0000 0.0000  3.55
Cd1 0.5000 0.5000 0.5000  -0.09
Co1 0.2500 0.2500 0.2500  1.35

Record 5
DFT (SCAN) results for a crystal of CdCo2Mo relaxed with PBEsol.

calculated total energy = -98.14 eV per cell
magnetization = 2.79 μB/f.u.
formation energy from the elements = 0.442 eV/atom

Unit cell a=2.6786 b=4.0727 c=5.0985 alpha=90.00 beta=105.23 gamma=90.00
Each line ends with the local moment (μB).
Atoms (fractional coordinates):
Cd1 0.4246 0.5000 0.8492  -0.03
Mo1 0.0960 0.0000 0.1919  -0.14
Co1 0.6874 0.5000 0.3748  1.36
Co2 0.8176 0.0000 0.6352  1.62

Record 6
DFT (SCAN) results for a crystal of CdCo2Mo relaxed with PBEsol.

calculated total energy = -98.35 eV per cell
magnetization = 3.18 μB/f.u.
formation energy from the elements = 0.391 eV/atom

Unit cell a=2.7256 b=2.7256 c=8.6766 alpha=80.96 beta=80.96 gamma=60.00
Each line ends with the local moment (μB).
Atoms (fractional coordinates):
Mo1 0.5000 0.5000 0.5000  0.00
Cd1 0.0000 0.0000 0.0000  -0.01
Co1 0.2446 0.2446 0.2663  1.62
Co2 0.7554 0.7554 0.7337  1.62

Record 7
DFT (SCAN) results for a crystal of CdCoMo2 relaxed with PBEsol.

calculated total energy = -115.50 eV per cell
magnetization = 1.62 μB/f.u.
formation energy from the elements = 0.496 eV/atom

Unit cell a=3.9212 b=3.9212 c=4.7508 alpha=114.37 beta=114.37 gamma=90.00
Each line ends with the local moment (μB).
Atoms (fractional coordinates):
Mo1 0.7500 0.2500 0.5000  -0.06
Co1 0.2500 0.7500 0.5000  1.74
Cd1 0.5000 0.5000 0.0000  -0.01
Mo2 0.0000 0.0000 0.0000  -0.03

Record 8
DFT (SCAN) results for a crystal of CdCoMo2 relaxed with PBEsol.

calculated total energy = -116.06 eV per cell
magnetization = 2.00 μB/f.u.
formation energy from the elements = 0.357 eV/atom

Unit cell a=3.7300 b=3.7271 c=4.2331 alpha=90.00 beta=90.00 gamma=90.00
Each line ends with the local moment (μB).
Atoms (fractional coordinates):
Cd1 0.5000 0.0000 0.5000  -0.01
Co1 0.0000 0.5000 0.5000  1.80
Mo1 0.0000 0.0000 0.0000  0.10
Mo2 0.5000 0.5000 0.0000  0.10

What is the formula in the first record?
Mg30CdCoO32